Entry 1:
# YRhS2N

YRhS2N after structural relaxation (GGA-PBE, Alexandria).

a = 4.860 Å, b = 4.860 Å, c = 3.715 Å
α = 90.00°, β = 90.00°, γ = 90.00°
Fractional positions:
Rh1 0.000 0.000 0.000
Y1 0.500 0.500 0.500
S1 0.000 0.500 0.000
S2 0.500 0.000 0.000
N1 0.000 0.000 0.500

Calculated values
Symmetry: P4/mmm, No. 123
Formation energy without anion corrections: -0.50 eV per atom
ΔE to the lowest computed polymorph: 0.000 eV per atom

Entry 2:
# CeTm2Ni9

CeTm2Ni9 after structural relaxation (GGA-PBE, Alexandria).

a = 4.943 Å, b = 4.943 Å, c = 8.585 Å
α = 73.27°, β = 73.27°, γ = 60.00°
Fractional positions:
Ni1 0.415 0.415 0.251
Ni2 0.333 0.333 0.000
Ni3 0.500 0.500 0.500
Ni4 0.918 0.415 0.251
Ni5 0.585 0.585 0.749
Ni6 0.585 0.082 0.749
Ni7 0.415 0.918 0.251
Ni8 0.082 0.585 0.749
Ni9 0.667 0.667 0.000
Tm1 0.140 0.140 0.580
Tm2 0.860 0.860 0.420
Ce1 0.000 0.000 0.000

Calculated values
Symmetry: R-3m, No. 166
Formation energy from the elements: -0.442 eV per atom

The calculation returns the following density of states at the Fermi level values, one per record and in order: 0.44, 1.22 states/eV per atom.
The calculation returns the following V values, one per record and in order: 17.55, 14.28 A^3/atom.
The calculation returns the following total moment values, one per record and in order: 0.00, 0.00 μB per atom.